Record 1
First-principles (PBE) data for PuReTc after structural relaxation, as listed in Alexandria.

Results
**Crystal system**: tetragonal
**N(E_F)**: 2.191 states/eV per atom
**Calculated total energy**: -73.4 eV per cell
**Polymorph energy (0 for the lowest one)**: 0 meV/atom
**M_tot**: 9.08 Bohr magnetons per cell

a = 3.0296 Å, b = 3.0296 Å, c = 11.8372 Å
α = 90.00°, β = 90.00°, γ = 90.00°
Closest atoms and distances in Å follow each position.
Space group I4mm (No. 107)
Unique sites:
Pu1 0.0000 0.0000 0.0000 (multiplicity 2)  4 Pu 3.03, 4 Re 3.10, 4 Tc 3.11
Re1 0.0000 0.0000 0.3110 (multiplicity 2)  4 Tc 2.57
Tc1 0.0000 0.0000 0.6910 (multiplicity 2)  4 Re 2.57

Record 2
First-principles (PBE) data for PuReTc after structural relaxation, as listed in Alexandria.

Results
**Crystal system**: monoclinic
**N(E_F)**: 2.249 states/eV per atom
**Calculated total energy**: -145.4 eV per cell
**Polymorph energy (0 for the lowest one)**: 126 meV/atom
**M_tot**: 16.79 Bohr magnetons per cell

a = 8.1471 Å, b = 5.6559 Å, c = 5.0437 Å
α = 90.00°, β = 102.81°, γ = 90.00°
Closest atoms and distances in Å follow each position.
Space group C2/m (No. 12)
Unique sites:
Pu1 0.1308 0.0000 0.3728 (multiplicity 4)  2 Tc 2.70, 1 Pu 2.72
Re1 0.0004 0.5000 0.2557 (multiplicity 4)  2 Re 2.47-2.58, 2 Tc 2.58
Tc1 0.2500 0.2500 0.0000 (multiplicity 4)  2 Re 2.58, 2 Pu 2.70, 2 Tc 2.83

Record 3
First-principles (PBE) data for PuReTc2 after structural relaxation, as listed in Alexandria.

Results
**Crystal system**: tetragonal
**N(E_F)**: 1.980 states/eV per atom
**Calculated total energy**: -46.8 eV per cell
**M_tot**: 3.37 Bohr magnetons per cell

a = 3.0475 Å, b = 3.0475 Å, c = 7.3252 Å
α = 90.00°, β = 90.00°, γ = 90.00°
Closest atoms and distances in Å follow each position.
Space group P4/mmm (No. 123)
Unique sites:
Pu1 0.0000 0.0000 0.0000 (multiplicity 1)  8 Tc 3.01, 4 Pu 3.05
Re1 0.0000 0.0000 0.5000 (multiplicity 1)  8 Tc 2.66
Tc1 0.5000 0.5000 0.2870 (multiplicity 2)  4 Re 2.66

Record 4
First-principles (PBE) data for Pu2ReTc3 after structural relaxation, as listed in Alexandria.

Results
**Crystal system**: monoclinic
**N(E_F)**: 2.316 states/eV per atom
**Calculated total energy**: -144.0 eV per cell
**M_tot**: 17.27 Bohr magnetons per cell

a = 8.6356 Å, b = 5.7942 Å, c = 5.6896 Å
α = 90.00°, β = 129.57°, γ = 90.00°
Closest atoms and distances in Å follow each position.
Space group C2/m (No. 12)
Unique sites:
Pu1 0.1231 0.0000 0.3724 (multiplicity 4)  3 Tc 2.85-2.88, 1 Re 2.92
Re1 0.0000 0.5000 0.0000 (multiplicity 2)  6 Tc 2.60-2.84
Tc1 0.0000 0.5000 0.5000 (multiplicity 2)  4 Tc 2.65, 2 Re 2.84, 2 Pu 2.85
Tc2 0.2500 0.2500 0.0000 (multiplicity 4)  2 Re 2.60, 4 Tc 2.65-2.90, 2 Pu 2.88

Record 5
First-principles (PBE) data for PuReTc2 after structural relaxation, as listed in Alexandria.

Results
**Crystal system**: tetragonal
**N(E_F)**: 1.422 states/eV per atom
**Calculated total energy**: -46.9 eV per cell
**M_tot**: 3.53 Bohr magnetons per cell

a = 4.6387 Å, b = 4.6387 Å, c = 3.0747 Å
α = 90.00°, β = 90.00°, γ = 90.00°
Closest atoms and distances in Å follow each position.
Space group P4/mmm (No. 123)
Unique sites:
Pu1 0.0000 0.0000 0.0000 (multiplicity 1)  8 Tc 2.78, 2 Pu 3.07
Re1 0.5000 0.5000 0.0000 (multiplicity 1)  8 Tc 2.78, 2 Re 3.07
Tc1 0.0000 0.5000 0.5000 (multiplicity 2)  4 Re 2.78, 4 Pu 2.78, 2 Tc 3.07

Record 6
First-principles (PBE) data for PuTiReTc after structural relaxation, as listed in Alexandria.

Results
**Crystal system**: cubic
**N(E_F)**: 0.984 states/eV per atom
**Calculated total energy**: -181.9 eV per cell
**M_tot**: 16.45 Bohr magnetons per cell

a = 6.4659 Å, b = 6.4659 Å, c = 6.4659 Å
α = 90.00°, β = 90.00°, γ = 90.00°
Closest atoms and distances in Å follow each position.
Space group F-43m (No. 216)
Unique sites:
Pu1 0.0000 0.0000 0.0000 (multiplicity 4)  4 Tc 2.80, 4 Re 2.80
Ti1 0.0000 0.0000 0.5000 (multiplicity 4)  4 Re 2.80, 4 Tc 2.80
Re1 0.2500 0.2500 0.2500 (multiplicity 4)  4 Pu 2.80, 4 Ti 2.80
Tc1 0.2500 0.2500 0.7500 (multiplicity 4)  4 Ti 2.80, 4 Pu 2.80

Record 7
First-principles (PBE) data for PuReTcW after structural relaxation, as listed in Alexandria.

Results
**Crystal system**: cubic
**N(E_F)**: 1.216 states/eV per atom
**Calculated total energy**: -197.6 eV per cell
**M_tot**: 17.79 Bohr magnetons per cell

a = 6.4883 Å, b = 6.4883 Å, c = 6.4883 Å
α = 90.00°, β = 90.00°, γ = 90.00°
Closest atoms and distances in Å follow each position.
Space group F-43m (No. 216)
Unique sites:
Pu1 0.0000 0.0000 0.0000 (multiplicity 4)  4 Tc 2.81, 4 Re 2.81
Re1 0.2500 0.2500 0.2500 (multiplicity 4)  4 W 2.81, 4 Pu 2.81
Tc1 0.2500 0.2500 0.7500 (multiplicity 4)  4 W 2.81, 4 Pu 2.81
W1 0.0000 0.0000 0.5000 (multiplicity 4)  4 Re 2.81, 4 Tc 2.81

Record 8
First-principles (PBE) data for PuZrReTc after structural relaxation, as listed in Alexandria.

Results
**Crystal system**: cubic
**N(E_F)**: 1.022 states/eV per atom
**Calculated total energy**: -183.7 eV per cell
**M_tot**: 15.82 Bohr magnetons per cell

a = 6.6573 Å, b = 6.6573 Å, c = 6.6573 Å
α = 90.00°, β = 90.00°, γ = 90.00°
Closest atoms and distances in Å follow each position.
Space group F-43m (No. 216)
Unique sites:
Pu1 0.0000 0.0000 0.0000 (multiplicity 4)  4 Re 2.88, 4 Tc 2.88
Zr1 0.0000 0.0000 0.5000 (multiplicity 4)  4 Re 2.88, 4 Tc 2.88
Re1 0.2500 0.2500 0.2500 (multiplicity 4)  4 Zr 2.88, 4 Pu 2.88
Tc1 0.2500 0.2500 0.7500 (multiplicity 4)  4 Zr 2.88, 4 Pu 2.88

Record 9
First-principles (PBE) data for PuThRe4 after structural relaxation, as listed in Alexandria.

Results
**Crystal system**: cubic
**N(E_F)**: 2.102 states/eV per atom
**Calculated total energy**: -286.5 eV per cell
**M_tot**: 21.51 Bohr magnetons per cell

a = 7.7351 Å, b = 7.7351 Å, c = 7.7351 Å
α = 90.00°, β = 90.00°, γ = 90.00°
Closest atoms and distances in Å follow each position.
Space group F-43m (No. 216)
Unique sites:
Pu1 0.0000 0.0000 0.0000 (multiplicity 4)  12 Re 3.21, 4 Th 3.35
Th1 0.2500 0.2500 0.2500 (multiplicity 4)  12 Re 3.21, 4 Pu 3.35
Re1 0.1252 0.1252 0.6252 (multiplicity 16)  6 Re 2.73-2.74

Record 10
First-principles (PBE) data for Pu2ThRe after structural relaxation, as listed in Alexandria.

Results
**Crystal system**: tetragonal
**N(E_F)**: 3.039 states/eV per atom
**Calculated total energy**: -47.7 eV per cell
**M_tot**: 9.56 Bohr magnetons per cell

a = 3.4565 Å, b = 3.4565 Å, c = 7.6925 Å
α = 90.00°, β = 90.00°, γ = 90.00°
Closest atoms and distances in Å follow each position.
Space group P4/mmm (No. 123)
Unique sites:
Pu1 0.0000 0.0000 0.2108 (multiplicity 2)  4 Re 2.93, 1 Pu 3.24
Th1 0.5000 0.5000 0.5000 (multiplicity 1)  8 Pu 3.30, 4 Th 3.46
Re1 0.5000 0.5000 0.0000 (multiplicity 1)  8 Pu 2.93

Record 11
First-principles (PBE) data for Pu2ThRe9 after structural relaxation, as listed in Alexandria.

Results
**Crystal system**: trigonal
**N(E_F)**: 1.975 states/eV per atom
**Calculated total energy**: -441.4 eV per cell
**M_tot**: 28.58 Bohr magnetons per cell

a = 5.3381 Å, b = 5.3381 Å, c = 27.0353 Å
α = 90.00°, β = 90.00°, γ = 120.00°
Closest atoms and distances in Å follow each position.
Space group R-3m (No. 166, hexagonal axes)
Unique sites:
Pu1 0.0000 0.0000 0.1450 (multiplicity 6)  12 Re 3.14-3.21, 3 Pu 3.30
Th1 0.0000 0.0000 0.0000 (multiplicity 3)  6 Re 3.08
Re1 0.0000 0.0000 0.3354 (multiplicity 6)  6 Re 2.71-2.77
Re2 0.0000 0.0000 0.5000 (multiplicity 3)  6 Re 2.73
Re3 0.0052 0.5026 0.9161 (multiplicity 18)  7 Re 2.63-2.77

Record 12
First-principles (PBE) data for PuTh2Re after structural relaxation, as listed in Alexandria.

Results
**Crystal system**: tetragonal
**N(E_F)**: 2.174 states/eV per atom
**Calculated total energy**: -41.1 eV per cell
**Polymorph energy (0 for the lowest one)**: 0 meV/atom
**M_tot**: 5.79 Bohr magnetons per cell

a = 3.5344 Å, b = 3.5344 Å, c = 8.2112 Å
α = 90.00°, β = 90.00°, γ = 90.00°
Closest atoms and distances in Å follow each position.
Space group P4/mmm (No. 123)
Unique sites:
Pu1 0.0000 0.0000 0.0000 (multiplicity 1)  8 Th 3.41, 4 Pu 3.53
Th1 0.5000 0.5000 0.2820 (multiplicity 2)  4 Re 3.07, 4 Pu 3.41
Re1 0.0000 0.0000 0.5000 (multiplicity 1)  8 Th 3.07

Record 13
First-principles (PBE) data for PuTh2Re after structural relaxation, as listed in Alexandria.

Results
**Crystal system**: trigonal
**N(E_F)**: 2.688 states/eV per atom
**Calculated total energy**: -118.3 eV per cell
**Polymorph energy (0 for the lowest one)**: 406 meV/atom
**M_tot**: 17.48 Bohr magnetons per cell

a = 3.4222 Å, b = 3.4222 Å, c = 32.0426 Å
α = 90.00°, β = 90.00°, γ = 120.00°
Closest atoms and distances in Å follow each position.
Space group R-3m (No. 166, hexagonal axes)
Unique sites:
Pu1 0.0000 0.0000 0.0000 (multiplicity 3)  2 Th 3.13, 6 Pu 3.42
Th1 0.0000 0.0000 0.0978 (multiplicity 6)  3 Re 2.96, 1 Pu 3.13
Re1 0.0000 0.0000 0.5000 (multiplicity 3)  6 Th 2.96

Record 14
First-principles (PBE) data for PuTiRe2 after structural relaxation, as listed in Alexandria.

Results
**Crystal system**: tetragonal
**N(E_F)**: 1.318 states/eV per atom
**Calculated total energy**: -47.0 eV per cell
**M_tot**: 3.16 Bohr magnetons per cell

a = 4.6055 Å, b = 4.6055 Å, c = 3.2094 Å
α = 90.00°, β = 90.00°, γ = 90.00°
Closest atoms and distances in Å follow each position.
Space group P4/mmm (No. 123)
Unique sites:
Pu1 0.0000 0.0000 0.0000 (multiplicity 1)  8 Re 2.81
Ti1 0.5000 0.5000 0.0000 (multiplicity 1)  8 Re 2.81
Re1 0.0000 0.5000 0.5000 (multiplicity 2)  4 Ti 2.81, 4 Pu 2.81

Record 15
First-principles (PBE) data for PuTiRe after structural relaxation, as listed in Alexandria.

Results
**Crystal system**: orthorhombic
**N(E_F)**: 2.093 states/eV per atom
**Calculated total energy**: -542.8 eV per cell
**M_tot**: 81.60 Bohr magnetons per cell

a = 8.4058 Å, b = 8.4271 Å, c = 14.1437 Å
α = 90.00°, β = 90.00°, γ = 90.00°
Closest atoms and distances in Å follow each position.
Space group Fddd (No. 70, origin choice 2)
Unique sites:
Pu1 0.0000 0.0000 0.0000 (multiplicity 16)  2 Re 2.68, 2 Pu 2.98
Ti1 0.1250 0.1250 0.4684 (multiplicity 16)  4 Re 2.58-2.64
Re1 0.0449 0.3750 0.8750 (multiplicity 16)  4 Ti 2.58-2.64, 2 Pu 2.68, 1 Re 2.86

Record 16
First-principles (PBE) data for PuTiZnRe after structural relaxation, as listed in Alexandria.

Results
**Crystal system**: cubic
**N(E_F)**: 1.907 states/eV per atom
**Calculated total energy**: -142.5 eV per cell
**M_tot**: 21.26 Bohr magnetons per cell

a = 6.5938 Å, b = 6.5938 Å, c = 6.5938 Å
α = 90.00°, β = 90.00°, γ = 90.00°
Closest atoms and distances in Å follow each position.
Space group F-43m (No. 216)
Unique sites:
Pu1 0.0000 0.0000 0.0000 (multiplicity 4)  4 Re 2.86, 4 Zn 2.86
Ti1 0.0000 0.0000 0.5000 (multiplicity 4)  4 Zn 2.86, 4 Re 2.86
Zn1 0.2500 0.2500 0.2500 (multiplicity 4)  4 Pu 2.86, 4 Ti 2.86
Re1 0.2500 0.2500 0.7500 (multiplicity 4)  4 Ti 2.86, 4 Pu 2.86

Record 17
First-principles (PBE) data for Pu2TlRe after structural relaxation, as listed in Alexandria.

Results
**Crystal system**: tetragonal
**N(E_F)**: 2.912 states/eV per atom
**Calculated total energy**: -43.2 eV per cell
**M_tot**: 9.65 Bohr magnetons per cell

a = 3.2322 Å, b = 3.2322 Å, c = 8.8507 Å
α = 90.00°, β = 90.00°, γ = 90.00°
Closest atoms and distances in Å follow each position.
Space group P4/mmm (No. 123)
Unique sites:
Pu1 0.0000 0.0000 0.2045 (multiplicity 2)  4 Re 2.92, 4 Pu 3.23
Tl1 0.5000 0.5000 0.5000 (multiplicity 1)  4 Tl 3.23, 8 Pu 3.47
Re1 0.5000 0.5000 0.0000 (multiplicity 1)  8 Pu 2.92, 4 Re 3.23

Record 18
First-principles (PBE) data for PuU2Re after structural relaxation, as listed in Alexandria.

Results
**Crystal system**: tetragonal
**N(E_F)**: 2.481 states/eV per atom
**Calculated total energy**: -48.7 eV per cell
**Polymorph energy (0 for the lowest one)**: 0 meV/atom
**M_tot**: 2.30 Bohr magnetons per cell

a = 4.9541 Å, b = 4.9541 Å, c = 3.1454 Å
α = 90.00°, β = 90.00°, γ = 90.00°
Closest atoms and distances in Å follow each position.
Space group P4/mmm (No. 123)
Unique sites:
Pu1 0.0000 0.0000 0.0000 (multiplicity 1)  8 U 2.93, 2 Pu 3.15
U1 0.0000 0.5000 0.5000 (multiplicity 2)  4 Re 2.93, 4 Pu 2.93, 2 U 3.15
Re1 0.5000 0.5000 0.0000 (multiplicity 1)  8 U 2.93, 2 Re 3.15

Record 19
First-principles (PBE) data for PuU2Re after structural relaxation, as listed in Alexandria.

Results
**Crystal system**: cubic
**N(E_F)**: 2.977 states/eV per atom
**Calculated total energy**: -194.1 eV per cell
**Polymorph energy (0 for the lowest one)**: 35 meV/atom
**M_tot**: 6.58 Bohr magnetons per cell

a = 6.7116 Å, b = 6.7116 Å, c = 6.7116 Å
α = 90.00°, β = 90.00°, γ = 90.00°
Closest atoms and distances in Å follow each position.
Space group Fm-3m (No. 225)
Unique sites:
Pu1 0.0000 0.0000 0.0000 (multiplicity 4)  8 U 2.91
U1 0.2500 0.2500 0.2500 (multiplicity 8)  4 Re 2.91, 4 Pu 2.91
Re1 0.0000 0.0000 0.5000 (multiplicity 4)  8 U 2.91

Record 20
First-principles (PBE) data for Pu2U2Re after structural relaxation, as listed in Alexandria.

Results
**Crystal system**: trigonal
**N(E_F)**: 2.320 states/eV per atom
**Calculated total energy**: -62.1 eV per cell
**M_tot**: 2.45 Bohr magnetons per cell

a = 4.3307 Å, b = 4.3307 Å, c = 5.9703 Å
α = 90.00°, β = 90.00°, γ = 120.00°
Closest atoms and distances in Å follow each position.
Space group P-3m1 (No. 164)
Unique sites:
Pu1 0.3333 0.6667 0.3353 (multiplicity 2)  4 U 2.56-2.57
U1 0.3333 0.6667 0.7639 (multiplicity 2)  4 Pu 2.56-2.57
Re1 0.0000 0.0000 0.0000 (multiplicity 1)  6 U 2.87, 6 Pu 3.20